[1]
{"formula": "PrDyIn2Pd4", "functional": "PBE", "state": "relaxed", "m_tot_mub_per_fu": 0.0, "dft_energy_ev_per_atom": -5.24, "cell": [[-2.575, 2.982, -2.414], [3.158, -2.596, -2.154], [-6.236, -6.472, -1.343]], "species": ["Pr", "Pd", "In", "Dy", "Pd", "In", "Pd", "Pd"], "fractional_positions": [[0.333, 0.667, 0.500], [0.667, 0.333, 0.672], [0.000, 0.000, 0.242], [0.667, 0.333, 0.000], [0.333, 0.667, 0.158], [0.000, 0.000, 0.758], [0.333, 0.667, 0.842], [0.667, 0.333, 0.328]]}

=====

[2]
{"formula": "Dy3In3PdPt2", "functional": "PBE", "state": "relaxed", "m_tot_mub_per_fu": 0.0, "dft_energy_ev_per_atom": -5.33, "cell": [[-5.375, 4.976, -2.468], [-2.026, -5.979, 4.460], [0.548, 2.135, 3.111]], "species": ["In", "Pt", "Dy", "Dy", "Pt", "Pd", "Dy", "In", "In"], "fractional_positions": [[0.260, 0.000, 0.000], [0.333, 0.667, 0.000], [0.410, 0.410, 0.500], [0.590, 0.000, 0.500], [0.667, 0.333, 0.000], [0.000, 0.000, 0.500], [0.000, 0.590, 0.500], [0.000, 0.260, 0.000], [0.740, 0.740, 0.000]]}

=====

[3]
{"formula": "Dy3In3Pd2Pt", "functional": "PBE", "state": "relaxed", "m_tot_mub_per_fu": 0.0, "dft_energy_ev_per_atom": -5.13, "cell": [[7.672, 0.000, 0.000], [-3.836, 6.644, 0.000], [0.000, 0.000, 3.888]], "species": ["Pt", "Pd", "Dy", "In", "In", "Pd", "Dy", "In", "Dy"], "fractional_positions": [[0.000, 0.000, 0.500], [0.667, 0.333, 0.000], [0.000, 0.596, 0.500], [0.739, 0.739, 0.000], [0.000, 0.261, 0.000], [0.333, 0.667, 0.000], [0.404, 0.404, 0.500], [0.261, 0.000, 0.000], [0.596, 0.000, 0.500]]}

=====

[4]
{"formula": "Dy3InSn2PdPt2", "functional": "PBE", "state": "relaxed", "m_tot_mub_per_fu": 0.0, "dft_energy_ev_per_atom": -5.67, "cell": [[-1.019, 1.274, 3.496], [0.478, -7.151, 2.746], [6.146, 4.594, 0.117]], "species": ["In", "Pd", "Dy", "Dy", "Pt", "Pt", "Sn", "Sn", "Dy"], "fractional_positions": [[0.000, 0.259, 0.259], [0.500, 0.994, 0.994], [0.500, 0.409, 0.004], [0.500, 0.004, 0.409], [0.000, 0.335, 0.668], [0.000, 0.668, 0.335], [0.000, 0.002, 0.740], [0.000, 0.740, 0.002], [0.500, 0.589, 0.589]]}

=====

[5]
{"formula": "TbDy2In3PdPt2", "functional": "PBE", "state": "relaxed", "m_tot_mub_per_fu": 0.0, "dft_energy_ev_per_atom": -5.33, "cell": [[-1.963, 3.296, -0.065], [-5.445, -3.155, 4.470], [6.005, 3.640, 3.206]], "species": ["Dy", "Pt", "In", "Pd", "In", "Pt", "Tb", "In", "Dy"], "fractional_positions": [[0.000, 0.590, 0.000], [0.500, 0.667, 0.333], [0.500, 0.742, 0.742], [0.000, 0.000, 0.000], [0.500, 0.259, 0.000], [0.500, 0.333, 0.667], [0.000, 0.410, 0.410], [0.500, 0.000, 0.259], [0.000, 0.000, 0.590]]}

=====

[6]
{"formula": "DyTm2In3PdPt2", "functional": "PBE", "state": "relaxed", "m_tot_mub_per_fu": 0.0, "dft_energy_ev_per_atom": -5.30, "cell": [[3.782, 0.000, 0.000], [0.000, 6.675, 3.841], [0.000, -6.675, 3.841]], "species": ["Pd", "Pt", "Dy", "In", "Tm", "In", "In", "Pt", "Tm"], "fractional_positions": [[0.000, 0.999, 0.999], [0.500, 0.669, 0.333], [0.000, 0.409, 0.409], [0.500, 0.260, 0.999], [0.000, 0.000, 0.591], [0.500, 0.999, 0.260], [0.500, 0.740, 0.740], [0.500, 0.333, 0.669], [0.000, 0.591, 0.000]]}

=====

Quick rundown of calculated density, same order as above: 9.5 11.2 10.4 11.3 11.1 11.5 g cm⁻³